# 1
Zn2CrSe after structural relaxation, computed with GGA-PBE.

total DFT energy (no corrections) = -31.07 eV/cell
uncorrected formation energy = 0.03 eV per atom

Structure (CIF):
```
data_Zn2CrSe
_space_group_name_H-M_alt 'C 1 m 1'
_space_group_IT_number 8
_space_group_name_Hall 'C -2y'
_cell_length_a 8.129
_cell_length_b 3.384
_cell_length_c 5.801
_cell_angle_alpha 90.00
_cell_angle_beta 100.21
_cell_angle_gamma 90.00
loop_
_atom_site_label
_atom_site_type_symbol
_atom_site_fract_x
_atom_site_fract_y
_atom_site_fract_z
_atom_site_occupancy
Zn1 Zn 0.000 0.000 0.000 1
Zn2 Zn 0.196 0.500 0.852 1
Cr1 Cr 0.381 0.000 0.625 1
Se1 Se 0.052 0.000 0.436 1
```

# 2
Ti2CuNi after structural relaxation, computed with GGA-PBE.

total DFT energy (no corrections) = -26.54 eV/cell
ΔE_f = -0.218 eV per atom

Structure (CIF):
```
data_Ti2CuNi
_space_group_name_H-M_alt 'P m m 2'
_space_group_IT_number 25
_space_group_name_Hall 'P 2 -2'
_cell_length_a 2.681
_cell_length_b 4.400
_cell_length_c 4.697
_cell_angle_alpha 90.00
_cell_angle_beta 90.00
_cell_angle_gamma 90.00
loop_
_atom_site_label
_atom_site_type_symbol
_atom_site_fract_x
_atom_site_fract_y
_atom_site_fract_z
_atom_site_occupancy
Ti1 Ti 0.000 0.000 0.000 1
Ti2 Ti 0.000 0.500 0.410 1
Cu1 Cu 0.500 0.000 0.527 1
Ni1 Ni 0.500 0.500 0.887 1
```

# 3
Tb3Dy4In after structural relaxation, computed with GGA-PBE.

total DFT energy (no corrections) = -71.81 eV/cell
ΔE_f = -0.108 eV per atom

Structure (CIF):
```
data_Tb3Dy4In
_space_group_name_H-M_alt 'P m n 21'
_space_group_IT_number 31
_space_group_name_Hall 'P 2ac -2'
_cell_length_a 11.184
_cell_length_b 7.036
_cell_length_c 6.166
_cell_angle_alpha 90.00
_cell_angle_beta 90.00
_cell_angle_gamma 90.00
loop_
_atom_site_label
_atom_site_type_symbol
_atom_site_fract_x
_atom_site_fract_y
_atom_site_fract_z
_atom_site_occupancy
Tb1 Tb 0.000 0.127 0.000 1
Tb2 Tb 0.243 0.384 0.197 1
Dy1 Dy 0.000 0.371 0.531 1
Dy2 Dy 0.000 0.869 0.530 1
Dy3 Dy 0.238 0.873 0.177 1
In1 In 0.000 0.624 0.018 1
```